DFT (GGA-PBE) results for a relaxed Cd2As2Pb crystal.

Results
Total moment   0.00 μB per atom
Volume   583.9 Å³/cell
DOS(E_F)   8.4 states/eV per cell
Energy   -2.928 eV per atom
ΔH_f (0 K)   4 kJ/mol of atoms
Distance to the lowest polymorph of the same formula   0 meV/atom

abc: 13.976 4.617 9.607
angles: 90.00 109.65 90.00
Space group C2/m (No. 12)
One atom of each set of equivalent atoms:
1 Cd 0.010 0.000 0.327 (multiplicity 4)
2 Cd 0.163 0.500 0.485 (multiplicity 4)
3 As 0.025 0.500 0.188 (multiplicity 4)
4 As 0.172 0.000 0.635 (multiplicity 4)
5 Pb 0.178 0.500 0.056 (multiplicity 4)